{"formula": "La5PrS6", "functional": "PBE", "state": "relaxed", "cell": [[7.0972, 0.1815, 1.0828], [1.7530, 6.0172, 3.5092], [0.1227, 0.0583, 7.1900]], "species": ["Pr", "S", "S", "S", "S", "S", "S", "La", "La", "La", "La", "La"], "frac_coords": [[0.0000, 0.0000, 0.0000], [0.7508, 0.0829, 0.3327], [0.2492, 0.5844, 0.3327], [0.2495, 0.2493, 0.0000], [0.7505, 0.7507, 0.0000], [0.7508, 0.4156, 0.6673], [0.2492, 0.9171, 0.6673], [0.5000, 0.1664, 0.6671], [0.0000, 0.3337, 0.3326], [0.5000, 0.5000, 0.0000], [0.0000, 0.6663, 0.6674], [0.5000, 0.8336, 0.3329]]}

=====

{"formula": "La2PrScS4", "functional": "PBE", "state": "relaxed", "cell": [[-1.8637, -0.2914, -3.5251], [-1.8215, -6.6161, 1.5099], [-5.0146, 4.3236, 2.2938]], "species": ["La", "La", "Pr", "Sc", "S", "S", "S", "S"], "frac_coords": [[0.5000, 0.0000, 0.5000], [0.0000, 0.5000, 0.5000], [0.5000, 0.5000, 0.0000], [0.0000, 0.0000, 0.0000], [0.5000, 0.2261, 0.2251], [0.5000, 0.7739, 0.7749], [0.0000, 0.2383, 0.7639], [0.0000, 0.7617, 0.2361]]}

=====

{"formula": "La3Pr3ScS8", "functional": "PBE", "state": "relaxed", "cell": [[8.1631, 0.0000, 0.0001], [-4.0816, 7.0687, -0.0242], [0.0001, -4.6885, 6.7353]], "species": ["La", "La", "La", "Pr", "Pr", "Pr", "Sc", "S", "S", "S", "S", "S", "S", "S", "S"], "frac_coords": [[0.0000, 0.0000, 0.0000], [0.0000, 0.5000, 0.0000], [0.5000, 0.5000, 0.0000], [0.5000, 0.0000, 0.5000], [0.5000, 0.5000, 0.5000], [0.0000, 0.5000, 0.5000], [0.0000, 0.0000, 0.5000], [0.2504, 0.5009, 0.2513], [0.7496, 0.4991, 0.7487], [0.7682, 0.5364, 0.2692], [0.2318, 0.4636, 0.7308], [0.7682, 0.0010, 0.2691], [0.2318, 0.9990, 0.7309], [0.2329, 0.0010, 0.2691], [0.7671, 0.9990, 0.7309]]}

=====

{"formula": "La2Pr2Se2S3", "functional": "PBE", "state": "relaxed", "cell": [[-4.9487, 1.0507, -2.4456], [-0.7623, -5.5060, -0.8229], [-0.5995, 1.6954, 8.3969]], "species": ["La", "La", "Pr", "Pr", "Se", "Se", "S", "S", "S"], "frac_coords": [[0.2045, 0.2045, 0.4090], [0.7955, 0.7955, 0.5910], [0.5000, 0.0000, 0.0000], [0.0000, 0.5000, 0.0000], [0.6014, 0.6014, 0.2027], [0.3986, 0.3986, 0.7973], [0.0000, 0.0000, 0.0000], [0.2500, 0.7500, 0.5000], [0.7500, 0.2500, 0.5000]]}

=====

{"formula": "La3Pr2SmS6", "functional": "PBE", "state": "relaxed", "cell": [[7.1349, -0.0062, -0.0019], [-3.5711, 6.1769, -0.0019], [-1.1908, -2.0619, 6.7072]], "species": ["La", "La", "La", "Pr", "Pr", "Sm", "S", "S", "S", "S", "S", "S"], "frac_coords": [[0.1684, 0.8316, 0.5000], [0.8316, 0.1684, 0.5000], [0.5000, 0.5000, 0.5000], [0.3334, 0.6666, 0.0000], [0.6666, 0.3334, 0.0000], [0.0000, 0.0000, 0.0000], [0.9187, 0.5902, 0.7554], [0.7538, 0.7538, 0.2465], [0.0813, 0.4098, 0.2446], [0.5902, 0.9187, 0.7554], [0.2462, 0.2462, 0.7535], [0.4098, 0.0813, 0.2446]]}

=====

{"formula": "La4PrSm3S8", "functional": "PBE", "state": "relaxed", "cell": [[8.1899, 0.0000, 0.0000], [0.0000, 8.1898, -0.0053], [-4.0950, -4.0908, 5.7937]], "species": ["La", "La", "La", "La", "Pr", "Sm", "Sm", "Sm", "S", "S", "S", "S", "S", "S", "S", "S"], "frac_coords": [[0.5000, 0.0000, 0.0000], [0.5000, 0.0000, 0.5000], [0.0000, 0.0000, 0.0000], [0.0000, 0.0000, 0.5000], [0.0000, 0.5000, 0.0000], [0.5000, 0.5000, 0.0000], [0.5000, 0.5000, 0.5000], [0.0000, 0.5000, 0.5000], [0.2495, 0.7423, 0.9928], [0.2495, 0.7423, 0.4990], [0.2535, 0.2606, 0.5071], [0.7433, 0.7423, 0.9928], [0.2567, 0.2577, 0.0072], [0.7465, 0.7394, 0.4929], [0.7505, 0.2577, 0.5010], [0.7505, 0.2577, 0.0072]]}

=====

These records have formation energy without anion corrections values of -2.15 -2.01 -2.08 -1.80 -2.10 -2.10 eV per atom, in the order they appear.